TlFePd2 | PBE-GGA | relaxed

Lattice parameters (Å, degrees): 3.1276 3.1276 6.9194 90.00 90.00 90.00
Sites, in units of the cell vectors:
Tl  0.0000  0.0000  0.0000
Fe  0.0000  0.0000  0.5000
Pd  0.5000  0.5000  0.2898
Pd  0.5000  0.5000  0.7102

Computed properties:
spin magnetization: 3.5 μB/f.u.
SG: P4/mmm, No. 123
energy of formation: -1 meV/atom
DFT total energy: -5.304 eV per atom